Entry 1:
Entry from Alexandria: a relaxed structure of Pa2ClF7 (PBE).

a b c (Å): 8.008 9.771 4.461
angles (deg): 90.00 90.00 90.00
Space group Cmmm (No. 65)
Unique sites:
Pa  0.000  0.237  0.000
Cl  0.000  0.500  0.500
F  0.000  0.000  0.000
F  0.000  0.185  0.500
F  0.225  0.368  0.000

V	349.0	Å³ per cell
electronic total energy	-0.2510	hartree per atom
DOS(E_F)	3.51	states/eV/f.u.

Entry 2:
Entry from Alexandria: a relaxed structure of Ba2BiF (PBE).

a b c (Å): 6.855 6.855 14.397
angles (deg): 90.00 90.00 90.00
Space group I-42d (No. 122)
Unique sites:
Ba  0.167  0.250  0.125
Bi  0.000  0.000  0.500
F  0.000  0.000  0.000

V	676.5	Å³ per cell
energy above the lowest structure with this stoichiometry	205	meV/atom
DOS(E_F)	0.00	states/eV/f.u.

Entry 3:
Entry from Alexandria: a relaxed structure of Tb4NiSe2S (PBE).

a b c (Å): 7.040 3.940 7.100
angles (deg): 90.00 108.95 90.00
Space group P2/m (No. 10)
Unique sites:
Tb  0.232  0.000  0.224
Tb  0.253  0.500  0.766
Ni  0.000  0.500  0.000
Se  0.000  0.000  0.500
Se  0.500  0.500  0.500
S  0.500  0.000  0.000

V	186.3	Å³ per cell
electronic total energy	-0.2171	hartree per atom
DOS(E_F)	4.47	states/eV/f.u.

Entry 4:
Entry from Alexandria: a relaxed structure of Sm2Er3Al3 (PBE).

a b c (Å): 4.793 4.801 8.864
angles (deg): 90.00 90.00 90.00
Space group Pmmm (No. 47)
Unique sites:
Sm  0.000  0.000  0.234
Er  0.500  0.000  0.500
Er  0.500  0.500  0.223
Al  0.000  0.500  0.000
Al  0.000  0.500  0.500
Al  0.500  0.000  0.000

V	204.0	Å³ per cell
ΔH_f (0 K)	-263	meV/atom
energy above the lowest structure with this stoichiometry	15	meV/atom
DOS(E_F)	8.30	states/eV/f.u.

Entry 5:
Entry from Alexandria: a relaxed structure of LiPaBr4 (PBE).

a b c (Å): 16.117 3.833 7.292
angles (deg): 90.00 115.05 90.00
Space group C2/m (No. 12)
Unique sites:
Li  0.000  0.000  0.000
Pa  0.000  0.500  0.500
Br  0.102  0.500  0.260
Br  0.123  0.000  0.792

V	408.2	Å³ per cell
energy above the lowest structure with this stoichiometry	0	meV/atom
DOS(E_F)	0.88	states/eV/f.u.

Entry 6:
Entry from Alexandria: a relaxed structure of Mg3ZnHg2 (PBE).

a b c (Å): 3.243 3.243 11.612
angles (deg): 90.00 90.00 90.00
Space group P4/mmm (No. 123)
Unique sites:
Mg  0.000  0.000  0.000
Mg  0.000  0.000  0.344
Zn  0.500  0.500  0.500
Hg  0.500  0.500  0.171

V	122.1	Å³ per cell
ΔH_f (0 K)	-151	meV/atom
energy above the lowest structure with this stoichiometry	22	meV/atom
DOS(E_F)	2.25	states/eV/f.u.

Entry 7:
Entry from Alexandria: a relaxed structure of KSrTiF6 (PBE).

a b c (Å): 7.595 7.889 10.327
angles (deg): 90.00 90.00 90.00
Space group Imma (No. 74)
Unique sites:
K  0.000  0.250  0.100
Sr  0.000  0.000  0.500
Ti  0.250  0.250  0.750
F  0.000  0.250  0.370
F  0.000  0.250  0.675
F  0.213  0.072  0.879

V	618.7	Å³ per cell
electronic total energy	-0.2146	hartree per atom
DOS(E_F)	4.65	states/eV/f.u.

Entry 8:
Entry from Alexandria: a relaxed structure of CrP (PBE).

a b c (Å): 2.787 3.819 9.194
angles (deg): 90.00 90.00 90.00
Space group Imma (No. 74)
Unique sites:
Cr  0.000  0.250  0.111
P  0.000  0.250  0.602

V	97.9	Å³ per cell
ΔH_f (0 K)	-113	meV/atom
DOS(E_F)	1.73	states/eV/f.u.

Entry 9:
Entry from Alexandria: a relaxed structure of CaNd2Ir (PBE).

a b c (Å): 4.0964 4.0964 32.4719
angles (deg): 90.00 90.00 120.00
Space group R-3m (No. 166, hexagonal axes)
Unique sites:
Ca  0.0000  0.0000  0.0000
Nd  0.0000  0.0000  0.1192
Ir  0.0000  0.0000  0.5000

V	471.9	Å³ per cell
ΔH_f (0 K)	-222	meV/atom
energy above the lowest structure with this stoichiometry	165	meV/atom
DOS(E_F)	4.15	states/eV/f.u.

Entry 10:
Entry from Alexandria: a relaxed structure of Tb4SmSn (PBE).

a b c (Å): 3.523 31.514 6.838
angles (deg): 90.00 90.00 90.00
Space group Cmc2_1 (No. 36)
Unique sites:
Tb  0.000  0.057  0.000
Tb  0.000  0.201  0.486
Tb  0.000  0.202  0.000
Tb  0.000  0.370  0.243
Sm  0.000  0.055  0.491
Sn  0.000  0.372  0.742

V	759.2	Å³ per cell
ΔH_f (0 K)	-29	meV/atom
DOS(E_F)	9.46	states/eV/f.u.

Entry 11:
Entry from Alexandria: a relaxed structure of Tb5PrNd (PBE).

a b c (Å): 5.785 8.711 11.843
angles (deg): 90.00 90.00 90.00
Space group Immm (No. 71)
Unique sites:
Tb  0.000  0.000  0.000
Tb  0.000  0.180  0.500
Tb  0.000  0.500  0.252
Pr  0.000  0.500  0.000
Nd  0.000  0.500  0.500

V	596.8	Å³ per cell
ΔH_f (0 K)	1053	meV/atom
energy above the lowest structure with this stoichiometry	869	meV/atom
DOS(E_F)	10.82	states/eV/f.u.

Entry 12:
Entry from Alexandria: a relaxed structure of KCaCr (PBE).

a b c (Å): 3.8301 3.8301 9.0700
angles (deg): 90.00 90.00 120.00
Space group P3m1 (No. 156)
Unique sites:
K  0.0000  0.0000  0.0000
Ca  0.6667  0.3333  0.4145
Cr  0.3333  0.6667  0.6742

V	115.2	Å³ per cell
ΔH_f (0 K)	804	meV/atom
energy above the lowest structure with this stoichiometry	93	meV/atom
DOS(E_F)	2.22	states/eV/f.u.

Entry 13:
Entry from Alexandria: a relaxed structure of Mg2FePb2 (PBE).

a b c (Å): 7.236 7.236 4.548
angles (deg): 90.00 90.00 90.00
Space group P4/mbm (No. 127)
Unique sites:
Mg  0.159  0.341  0.000
Fe  0.000  0.000  0.500
Pb  0.156  0.656  0.500

V	238.1	Å³ per cell
ΔH_f (0 K)	319	meV/atom
DOS(E_F)	3.45	states/eV/f.u.

Entry 14:
Entry from Alexandria: a relaxed structure of Tl2ZnCl (PBE).

a b c (Å): 5.461 5.461 3.609
angles (deg): 90.00 90.00 90.00
Space group P4/mmm (No. 123)
Unique sites:
Tl  0.000  0.500  0.000
Zn  0.000  0.000  0.500
Cl  0.500  0.500  0.500

V	107.6	Å³ per cell
energy above the lowest structure with this stoichiometry	28	meV/atom
DOS(E_F)	0.63	states/eV/f.u.

Entry 15:
Entry from Alexandria: a relaxed structure of PaVPb2 (PBE).

a b c (Å): 3.2815 3.2815 34.1610
angles (deg): 90.00 90.00 120.00
Space group R-3m (No. 166, hexagonal axes)
Unique sites:
Pa  0.0000  0.0000  0.0000
V  0.0000  0.0000  0.5000
Pb  0.0000  0.0000  0.4170

V	318.6	Å³ per cell
ΔH_f (0 K)	565	meV/atom
DOS(E_F)	6.96	states/eV/f.u.

Entry 16:
Entry from Alexandria: a relaxed structure of NdMnP2Os (PBE).

a b c (Å): 4.035 4.035 9.952
angles (deg): 90.00 90.00 90.00
Space group I-4m2 (No. 119)
Unique sites:
Nd  0.000  0.000  0.000
Mn  0.000  0.500  0.750
P  0.000  0.000  0.362
Os  0.000  0.500  0.250

V	162.0	Å³ per cell
ΔH_f (0 K)	-807	meV/atom
DOS(E_F)	2.96	states/eV/f.u.

Entry 17:
Entry from Alexandria: a relaxed structure of MgBi2Rh (PBE).

a b c (Å): 4.5368 4.5368 5.5241
angles (deg): 90.00 90.00 120.00
Space group P-3m1 (No. 164)
Unique sites:
Mg  0.0000  0.0000  0.0000
Bi  0.3333  0.6667  0.7022
Rh  0.0000  0.0000  0.5000

V	98.5	Å³ per cell
ΔH_f (0 K)	-262	meV/atom
DOS(E_F)	1.71	states/eV/f.u.

Entry 18:
Entry from Alexandria: a relaxed structure of Y3Ho7Er (PBE).

a b c (Å): 6.969 5.499 9.843
angles (deg): 90.00 110.20 90.00
Space group P2/m (No. 10)
Unique sites:
Y  0.000  0.000  0.000
Y  0.278  0.500  0.498
Ho  0.000  0.000  0.500
Ho  0.148  0.500  0.792
Ho  0.321  0.500  0.141
Ho  0.419  0.000  0.330
Er  0.500  0.000  0.000

V	354.0	Å³ per cell
ΔH_f (0 K)	157	meV/atom
energy above the lowest structure with this stoichiometry	0	meV/atom
DOS(E_F)	18.89	states/eV/f.u.

Entry 19:
Entry from Alexandria: a relaxed structure of LiMgTcRu (PBE).

a b c (Å): 6.102 6.102 6.102
angles (deg): 90.00 90.00 90.00
Space group F-43m (No. 216)
Unique sites:
Li  0.000  0.000  0.000
Mg  0.250  0.250  0.250
Tc  0.250  0.250  0.750
Ru  0.000  0.000  0.500

V	227.2	Å³ per cell
ΔH_f (0 K)	16	meV/atom
DOS(E_F)	0.98	states/eV/f.u.

Entry 20:
Entry from Alexandria: a relaxed structure of La2As3PdPt4 (PBE).

a b c (Å): 4.384 4.384 10.427
angles (deg): 90.00 90.00 90.00
Space group P-4m2 (No. 115)
Unique sites:
La  0.000  0.500  0.248
As  0.000  0.000  0.000
As  0.000  0.500  0.628
Pd  0.500  0.500  0.000
Pt  0.000  0.000  0.500
Pt  0.000  0.500  0.860
Pt  0.500  0.500  0.500

V	200.4	Å³ per cell
ΔH_f (0 K)	-867	meV/atom
DOS(E_F)	5.87	states/eV/f.u.